# 1
Compound: Al2CrOs
Source: the Alexandria database
Functional: GGA-PBE
Structure: optimized geometry

The structure in extended XYZ format:
```
4
Lattice="4.2110 0.0000 0.0000 0.0000 4.2110 0.0000 0.0000 0.0000 3.1335" Properties=species:S:1:pos:R:3 pbc="T T T"
Al 0.0000 2.1055 0.0000
Al 2.1055 0.0000 0.0000
Cr 0.0000 0.0000 1.5667
Os 2.1055 2.1055 1.5667
```

E above lowest polymorph, meV/atom: 110.4
D(E_F), states/eV per atom: 0.408

***

# 2
Compound: AlCrOs2
Source: the Alexandria database
Functional: GGA-PBE
Structure: optimized geometry

The structure in extended XYZ format:
```
4
Lattice="2.9412 0.0000 0.0000 0.0000 4.1161 0.0000 0.0000 0.0000 4.5395" Properties=species:S:1:pos:R:3 pbc="T T T"
Al 0.0000 0.0000 0.0000
Cr 1.4706 0.0000 2.2698
Os 0.0000 2.0580 2.2698
Os 1.4706 2.0580 0.0000
```

D(E_F), states/eV per atom: 0.752

***

# 3
Compound: AlCrOs2
Source: the Alexandria database
Functional: GGA-PBE
Structure: optimized geometry

The structure in extended XYZ format:
```
4
Lattice="4.6348 -1.4178 0.0000 4.6348 1.4178 0.0000 -1.5511 0.0000 4.1795" Properties=species:S:1:pos:R:3 pbc="T T T"
Al 0.0000 0.0000 0.0000
Cr 1.2880 0.0000 2.6246
Os 3.8088 0.0000 2.1283
Os 6.7574 0.0000 0.5149
```

D(E_F), states/eV per atom: 0.704

***

# 4
Compound: Al2CrOs
Source: the Alexandria database
Functional: GGA-PBE
Structure: optimized geometry

The structure in extended XYZ format:
```
4
Lattice="2.7612 0.0000 0.0000 0.0000 4.1221 0.0000 -0.6623 0.0000 4.9238" Properties=species:S:1:pos:R:3 pbc="T T T"
Al 0.4958 0.0000 1.2287
Al 1.6031 0.0000 3.6951
Cr 1.3806 2.0610 0.0000
Os -0.3312 2.0610 2.4619
```

E above lowest polymorph, meV/atom: 271.0
D(E_F), states/eV per atom: 0.712

***

# 5
Compound: AlCrOs
Source: the Alexandria database
Functional: GGA-PBE
Structure: optimized geometry

The structure in extended XYZ format:
```
3
Lattice="0.0000 2.2479 6.2893 1.4525 0.0000 6.2893 1.4525 2.2479 0.0000" Properties=species:S:1:pos:R:3 pbc="T T T"
Al 0.0000 0.0000 0.0000
Cr 1.4525 2.2479 4.2037
Os 1.4525 2.2479 8.4586
```

E above lowest polymorph, meV/atom: 343.5
D(E_F), states/eV per atom: 0.837

***

# 6
Compound: Al2CrOs
Source: the Alexandria database
Functional: GGA-PBE
Structure: optimized geometry

The structure in extended XYZ format:
```
4
Lattice="2.6386 -4.1005 0.0000 2.6386 4.1005 0.0000 -0.9931 0.0000 2.5378" Properties=species:S:1:pos:R:3 pbc="T T T"
Al 1.3193 2.0502 0.0000
Al 1.3193 -2.0502 0.0000
Cr -0.4965 0.0000 1.2689
Os 2.1421 0.0000 1.2689
```

E above lowest polymorph, meV/atom: 280.1
D(E_F), states/eV per atom: 0.929

***

# 7
Compound: Al2CrOs
Source: the Alexandria database
Functional: GGA-PBE
Structure: optimized geometry

The structure in extended XYZ format:
```
4
Lattice="3.0258 0.0000 0.0000 0.0000 4.1361 0.0000 0.0000 0.0000 4.4640" Properties=species:S:1:pos:R:3 pbc="T T T"
Al 0.0000 0.0000 0.0000
Al 1.5129 0.0000 2.2320
Cr 0.0000 2.0681 2.2320
Os 1.5129 2.0681 0.0000
```

E above lowest polymorph, meV/atom: 205.3
D(E_F), states/eV per atom: 0.635

***

# 8
Compound: AlCrOs2
Source: the Alexandria database
Functional: GGA-PBE
Structure: optimized geometry

The structure in extended XYZ format:
```
4
Lattice="-1.8384 1.8384 4.0730 1.8384 -1.8384 4.0730 1.8384 1.8384 -4.0730" Properties=species:S:1:pos:R:3 pbc="T T T"
Al 0.0000 0.0000 0.0000
Cr 1.8384 0.0000 2.0365
Os 0.0000 0.0000 4.0730
Os 0.0000 1.8384 2.0365
```

D(E_F), states/eV per atom: 1.110

***

# 9
Compound: AlCrOs2
Source: the Alexandria database
Functional: GGA-PBE
Structure: optimized geometry

The structure in extended XYZ format:
```
4
Lattice="-1.3270 2.1675 5.3707 1.3270 -2.1675 5.3707 1.3270 2.1675 -5.3707" Properties=species:S:1:pos:R:3 pbc="T T T"
Al 0.0000 0.0000 0.0000
Cr 0.0000 0.0000 5.3707
Os 0.0000 0.0000 3.0812
Os 0.0000 0.0000 7.6603
```

D(E_F), states/eV per atom: 0.602

***

# 10
Compound: AlCrOs2
Source: the Alexandria database
Functional: GGA-PBE
Structure: optimized geometry

The structure in extended XYZ format:
```
4
Lattice="2.0262 1.1698 4.3069 -2.0262 1.1698 4.3069 0.0000 -2.3396 4.3069" Properties=species:S:1:pos:R:3 pbc="T T T"
Al 0.0000 0.0000 0.0000
Cr 0.0000 0.0000 10.3560
Os 0.0000 0.0000 5.1885
Os 0.0000 0.0000 7.6336
```

D(E_F), states/eV per atom: 0.488

***

# 11
Compound: AlCrOs2
Source: the Alexandria database
Functional: GGA-PBE
Structure: optimized geometry

The structure in extended XYZ format:
```
4
Lattice="2.9259 0.0000 0.0000 0.0000 2.9259 0.0000 0.0000 0.0000 6.3099" Properties=species:S:1:pos:R:3 pbc="T T T"
Al 0.0000 0.0000 0.0000
Cr 1.4629 1.4629 1.5245
Os 0.0000 0.0000 2.9563
Os 1.4629 1.4629 4.7536
```

D(E_F), states/eV per atom: 0.913

***

# 12
Compound: AlCrTe2Os
Source: the Alexandria database
Functional: GGA-PBE
Structure: optimized geometry

The structure in extended XYZ format:
```
5
Lattice="5.1572 0.0000 0.0000 0.0000 5.1572 0.0000 0.0000 0.0000 4.5157" Properties=species:S:1:pos:R:3 pbc="T T T"
Al 0.0000 0.0000 0.0000
Cr 2.5786 2.5786 2.2578
Te 0.0000 2.5786 0.0000
Te 2.5786 0.0000 0.0000
Os 0.0000 0.0000 2.2578
```

Uncorrected formation energy, eV per atom: 1.665
D(E_F), states/eV per atom: 1.279

***

# 13
Compound: AlTl2CrOs
Source: the Alexandria database
Functional: GGA-PBE
Structure: optimized geometry

The structure in extended XYZ format:
```
5
Lattice="5.1337 0.0000 0.0000 0.0000 5.1337 0.0000 0.0000 0.0000 4.7581" Properties=species:S:1:pos:R:3 pbc="T T T"
Al 0.0000 0.0000 0.0000
Tl 0.0000 2.5669 2.3791
Tl 2.5669 0.0000 2.3791
Cr 0.0000 0.0000 2.3791
Os 2.5669 2.5669 0.0000
```

D(E_F), states/eV per atom: 1.167

***

# 14
Compound: Al2TlCrOs
Source: the Alexandria database
Functional: GGA-PBE
Structure: optimized geometry

The structure in extended XYZ format:
```
5
Lattice="4.5916 0.0000 0.0000 0.0000 4.5916 0.0000 0.0000 0.0000 4.9780" Properties=species:S:1:pos:R:3 pbc="T T T"
Al 0.0000 2.2958 0.0000
Al 2.2958 0.0000 0.0000
Tl 0.0000 0.0000 2.4890
Cr 0.0000 0.0000 0.0000
Os 2.2958 2.2958 2.4890
```

D(E_F), states/eV per atom: 1.433

***

# 15
Compound: UAlCrOs
Source: the Alexandria database
Functional: GGA-PBE
Structure: optimized geometry

The structure in extended XYZ format:
```
4
Lattice="0.0000 3.2058 3.2058 3.2058 0.0000 3.2058 3.2058 3.2058 0.0000" Properties=species:S:1:pos:R:3 pbc="T T T"
U 0.0000 0.0000 0.0000
Al 3.2058 3.2058 3.2058
Cr 4.8088 4.8088 4.8088
Os 1.6029 1.6029 1.6029
```

D(E_F), states/eV per atom: 1.697

***

# 16
Compound: Al2CrP
Source: the Alexandria database
Functional: GGA-PBE
Structure: optimized geometry

The structure in extended XYZ format:
```
4
Lattice="0.0000 3.1105 3.1105 3.1105 0.0000 3.1105 3.1105 3.1105 0.0000" Properties=species:S:1:pos:R:3 pbc="T T T"
Al 0.0000 0.0000 0.0000
Al 1.5552 1.5552 1.5552
Cr 3.1105 3.1105 3.1105
P 4.6657 4.6657 4.6657
```

D(E_F), states/eV per atom: 0.765

***

# 17
Compound: Al2CrP
Source: the Alexandria database
Functional: GGA-PBE
Structure: optimized geometry

The structure in extended XYZ format:
```
4
Lattice="3.3367 0.0000 0.0000 0.0000 1.7550 4.9051 0.0000 -1.7550 4.9051" Properties=species:S:1:pos:R:3 pbc="T T T"
Al 0.0000 0.0000 0.0000
Al 1.6683 0.0000 3.1534
Cr 0.0000 0.0000 7.1452
P 1.6683 0.0000 5.6139
```

D(E_F), states/eV per atom: 0.425

***

# 18
Compound: AlCrP2
Source: the Alexandria database
Functional: GGA-PBE
Structure: optimized geometry

The structure in extended XYZ format:
```
4
Lattice="1.6364 -2.1021 0.0000 1.6364 2.1021 0.0000 0.0000 0.0000 9.2541" Properties=species:S:1:pos:R:3 pbc="T T T"
Al 0.0000 0.0000 0.0000
Cr 1.6364 0.0000 7.2804
P 0.0000 0.0000 5.6325
P 1.6364 0.0000 1.9227
```

D(E_F), states/eV per atom: 0.565

***

# 19
Compound: AlCrP2
Source: the Alexandria database
Functional: GGA-PBE
Structure: optimized geometry

The structure in extended XYZ format:
```
4
Lattice="4.2319 0.0000 0.0000 0.0000 1.6025 4.1051 0.0000 -1.6025 4.1051" Properties=species:S:1:pos:R:3 pbc="T T T"
Al 0.0000 0.0000 0.0000
Cr 2.1160 0.0000 4.9455
P 0.0000 0.0000 5.9104
P 2.1160 0.0000 2.6141
```

D(E_F), states/eV per atom: 0.465

***

# 20
Compound: Al2CrP
Source: the Alexandria database
Functional: GGA-PBE
Structure: optimized geometry

The structure in extended XYZ format:
```
4
Lattice="1.4329 0.8273 8.0630 -1.4329 0.8273 8.0630 0.0000 -1.6546 8.0630" Properties=species:S:1:pos:R:3 pbc="T T T"
Al 0.0000 0.0000 6.0211
Al 0.0000 0.0000 18.1679
Cr 0.0000 0.0000 12.0945
P 0.0000 0.0000 0.0000
```

D(E_F), states/eV per atom: 0.662

***

| no. | total moment (μB/atom) | final energy (eV per atom) |
| --- | --- | --- |
| 1 | 0.7922 | -7.31 |
| 2 | 0.1297 | -8.91 |
| 3 | 0.3141 | -9.07 |
| 4 | 0.4026 | -7.15 |
| 5 | 0.0000 | -8.11 |
| 6 | 0.0572 | -7.14 |
| 7 | 0.5435 | -7.21 |
| 8 | 0.3173 | -8.96 |
| 9 | 0.0000 | -8.50 |
| 10 | 0.0000 | -8.69 |
| 11 | 0.0000 | -8.95 |
| 12 | 0.1050 | -4.51 |
| 13 | 1.1597 | -4.28 |
| 14 | 0.8167 | -4.64 |
| 15 | 0.6472 | -8.98 |
| 16 | 0.7317 | -5.40 |
| 17 | 0.0000 | -5.84 |
| 18 | 0.0012 | -5.90 |
| 19 | 0.0001 | -6.21 |
| 20 | 0.4338 | -5.53 |